[1]
Entry from the Alexandria database: a relaxed structure of RbGa6Au12 (PBE-GGA).

Properties
crystal system: trigonal
magnetic moment: 0.0 μB/f.u.
polymorph energy (0 for the lowest one): 0.004 eV/atom
calculated formation energy: -0.14 eV/atom

Geometry as CIF:
```
data_RbGa6Au12
_chemical_formula_sum 'Rb3 Ga18 Au36'
_cell_length_a 12.5517
_cell_length_b 12.5517
_cell_length_c 8.4106
_cell_angle_alpha 90.00
_cell_angle_beta 90.00
_cell_angle_gamma 120.00
_space_group_name_H-M_alt 'R -3'
_space_group_IT_number 148
_space_group_name_Hall '-R 3'
loop_
_atom_site_label
_atom_site_fract_x
_atom_site_fract_y
_atom_site_fract_z
Rb1 0.0000 0.0000 0.0000
Ga1 0.0254 0.7589 0.7866
Au1 0.0194 0.5476 0.7457
Au2 0.0561 0.9004 0.3593
```

[2]
Entry from the Alexandria database: a relaxed structure of La2AgC (PBE-GGA).

Properties
crystal system: trigonal
magnetic moment: 0.0 μB/f.u.
calculated formation energy: -0.11 eV/atom

Geometry as CIF:
```
data_La2AgC
_chemical_formula_sum 'La6 Ag3 C3'
_cell_length_a 3.7918
_cell_length_b 3.7918
_cell_length_c 24.1353
_cell_angle_alpha 90.00
_cell_angle_beta 90.00
_cell_angle_gamma 120.00
_space_group_name_H-M_alt 'R -3 m'
_space_group_IT_number 166
_space_group_name_Hall '-R 3 2"'
loop_
_atom_site_label
_atom_site_fract_x
_atom_site_fract_y
_atom_site_fract_z
La1 0.0000 0.0000 0.2275
Ag1 0.0000 0.0000 0.0000
C1 0.0000 0.0000 0.5000
```

[3]
Entry from the Alexandria database: a relaxed structure of GdThRu (PBE-GGA).

Properties
crystal system: cubic
magnetic moment: 7.2 μB/f.u.
polymorph energy (0 for the lowest one): 0.013 eV/atom
calculated formation energy: -0.22 eV/atom

Geometry as CIF:
```
data_GdThRu
_chemical_formula_sum 'Gd4 Th4 Ru4'
_cell_length_a 6.899
_cell_length_b 6.899
_cell_length_c 6.899
_cell_angle_alpha 90.00
_cell_angle_beta 90.00
_cell_angle_gamma 90.00
_space_group_name_H-M_alt 'F -4 3 m'
_space_group_IT_number 216
_space_group_name_Hall 'F -4 2 3'
loop_
_atom_site_label
_atom_site_fract_x
_atom_site_fract_y
_atom_site_fract_z
Gd1 0.000 0.000 0.000
Th1 0.000 0.000 0.500
Ru1 0.250 0.250 0.250
```

[4]
Entry from the Alexandria database: a relaxed structure of RbNbTe3 (PBE-GGA).

Properties
crystal system: triclinic
magnetic moment: 0.0 μB/f.u.
polymorph energy (0 for the lowest one): 0.000 eV/atom
formation energy (no corrections): -0.58 eV/atom

Geometry as CIF:
```
data_RbNbTe3
_chemical_formula_sum 'Rb2 Nb2 Te6'
_cell_length_a 6.333
_cell_length_b 8.010
_cell_length_c 8.023
_cell_angle_alpha 119.69
_cell_angle_beta 90.17
_cell_angle_gamma 90.00
_space_group_name_H-M_alt 'P -1'
_space_group_IT_number 2
loop_
_space_group_symop_operation_xyz
'x,y,z'
'-x,-y,-z'
loop_
_atom_site_label
_atom_site_fract_x
_atom_site_fract_y
_atom_site_fract_z
Rb1 0.249 0.332 0.165
Nb1 0.000 0.000 0.500
Nb2 0.500 0.000 0.500
Te1 0.249 0.833 0.165
Te2 0.251 0.335 0.667
Te3 0.251 0.831 0.668
```